Density functional theory data (PBE-GGA) for a relaxed structure of Ce4SbTe2P.

Output
- Crystal system: monoclinic
- Uncorrected formation energy: -1.32 eV/atom
- Size of the total moment: 4.0 μB/f.u.

Lattice parameters (Å, degrees): 4.360 7.687 7.626 71.01 90.00 90.00
Each line ends with the local moment (μB).
Sites, in units of the cell vectors:
1 Ce 0.000 0.734 0.738  0.84
2 Ce 0.000 0.266 0.262  0.84
3 Ce 0.500 0.723 0.275  0.88
4 Ce 0.500 0.277 0.725  0.88
5 Sb 0.500 0.500 0.000  -0.03
6 Te 0.000 0.000 0.000  -0.02
7 Te 0.500 0.000 0.500  -0.02
8 P 0.000 0.500 0.500  -0.04


Density functional theory data (PBE-GGA) for a relaxed structure of CeThSbP.

Output
- Crystal system: trigonal
- Uncorrected formation energy: -1.17 eV/atom
- Size of the total moment: 0.6 μB/f.u.

Lattice parameters (Å, degrees): 4.202 4.202 7.847 90.00 105.53 120.00
Each line ends with the local moment (μB).
Sites, in units of the cell vectors:
1 Ce 0.947 0.371 0.333  0.57
2 Th 0.327 0.561 0.903  0.00
3 Sb 0.470 0.133 0.618  -0.02
4 P 0.135 0.965 0.115  -0.01


Density functional theory data (PBE-GGA) for a relaxed structure of Ce2ScP.

Output
- Formation enthalpy at 0 K: -1.9 eV/f.u.
- Relative energy among the computed polymorphs: 0.0000 eV/atom
- Crystal system: trigonal
- Size of the total moment: 2.2 μB/f.u.

Lattice parameters (Å, degrees): 3.738 3.738 9.282 78.39 78.39 60.00
Each line ends with the local moment (μB).
Sites, in units of the cell vectors:
1 Ce 0.065 0.065 0.804  0.68
2 Ce 0.268 0.268 0.196  0.48
3 Sc 0.500 0.500 0.500  0.28
4 P 0.667 0.667 0.000  -0.01


Density functional theory data (PBE-GGA) for a relaxed structure of CeSc5P6.

Output
- Formation enthalpy at 0 K: -17.8 eV/f.u.
- Crystal system: monoclinic
- Size of the total moment: 0.0 μB/f.u.

Lattice parameters (Å, degrees): 6.606 6.606 6.610 99.63 99.63 119.98
Sites, in units of the cell vectors:
1 Sc 0.835 0.165 0.500
2 Sc 0.667 0.333 0.000
3 Sc 0.500 0.500 0.500
4 Sc 0.333 0.667 0.000
5 Sc 0.165 0.835 0.500
6 P 0.427 0.085 0.257
7 P 0.915 0.573 0.743
8 P 0.257 0.257 0.746
9 P 0.743 0.743 0.254
10 P 0.085 0.427 0.257
11 P 0.573 0.915 0.743
12 Ce 0.000 0.000 0.000


Density functional theory data (PBE-GGA) for a relaxed structure of CeScP.

Output
- Formation enthalpy at 0 K: -2.2 eV/f.u.
- Crystal system: hexagonal
- Size of the total moment: 1.9 μB/f.u.

Lattice parameters (Å, degrees): 3.992 4.460 4.460 120.00 90.00 90.00
Each line ends with the local moment (μB).
Sites, in units of the cell vectors:
1 Sc 0.167 0.333 0.667  0.42
2 P 0.167 0.000 0.000  -0.03
3 Ce 0.667 0.667 0.333  1.05


Density functional theory data (PBE-GGA) for a relaxed structure of CeScP.

Output
- Formation enthalpy at 0 K: -2.2 eV/f.u.
- Crystal system: cubic
- Size of the total moment: 1.4 μB/f.u.

Lattice parameters (Å, degrees): 4.630 4.630 4.630 60.00 60.00 60.00
Each line ends with the local moment (μB).
Sites, in units of the cell vectors:
1 Sc 0.000 0.000 0.000  0.26
2 P 0.250 0.250 0.250  -0.02
3 Ce 0.500 0.500 0.500  0.82


Density functional theory data (PBE-GGA) for a relaxed structure of Ce2ScP.

Output
- Formation enthalpy at 0 K: -1.3 eV/f.u.
- Relative energy among the computed polymorphs: 0.1577 eV/atom
- Crystal system: trigonal
- Size of the total moment: 1.7 μB/f.u.

Lattice parameters (Å, degrees): 3.633 3.633 9.938 79.47 79.47 60.00
Each line ends with the local moment (μB).
Sites, in units of the cell vectors:
1 Sc 0.000 0.000 0.000  0.21
2 P 0.500 0.500 0.500  -0.02
3 Ce 0.105 0.105 0.684  0.60
4 Ce 0.895 0.895 0.316  0.60


Density functional theory data (PBE-GGA) for a relaxed structure of CeScP2.

Output
- Formation enthalpy at 0 K: -5.0 eV/f.u.
- Relative energy among the computed polymorphs: 0.2270 eV/atom
- Crystal system: trigonal
- Size of the total moment: 0.1 μB/f.u.

Lattice parameters (Å, degrees): 3.881 3.881 6.818 89.99 90.00 120.00
Each line ends with the local moment (μB).
Sites, in units of the cell vectors:
1 Ce 0.000 0.500 0.500  -0.06
2 Sc 0.000 0.500 0.000  0.00
3 P 0.667 0.833 0.769  0.00
4 P 0.333 0.167 0.231  0.00